Below is an optimized crystal structure of Ce2Tl2AgSe6, with properties calculated at the PBE level.

## Properties
Calculated volume = 346.47 Å³/cell
M_tot = 0.00 μB/cell
Symmetry = C2/m
Raw total energy = -0.17013 Ha/atom
Crystal system = monoclinic

Cell lengths 7.2671, 7.2671, 8.0312 Å; angles 98.24, 98.24, 121.32 degrees
With the nearest neighbours (Å) after each atom.
Atoms (fractional coordinates):
Ce 0.3337 0.6663 0.5000  6 Se 2.85-2.90
Ce 0.6663 0.3337 0.5000  6 Se 2.85-2.90
Tl 0.1656 0.8344 0.0000  6 Se 3.17-3.33
Tl 0.8344 0.1656 0.0000  6 Se 3.17-3.33
Se 0.2478 0.2478 0.3085  1 Ag 2.66, 2 Ce 2.90
Se 0.4229 0.0708 0.7160  2 Ce 2.85-2.88, 1 Ag 3.05, 1 Tl 3.17
Se 0.7522 0.7522 0.6915  1 Ag 2.66, 2 Ce 2.90
Se 0.5771 0.9292 0.2840  2 Ce 2.85-2.88, 1 Ag 3.05, 1 Tl 3.17
Se 0.0708 0.4229 0.7160  2 Ce 2.85-2.88, 1 Ag 3.05, 1 Tl 3.17
Se 0.9292 0.5771 0.2840  2 Ce 2.85-2.88, 1 Ag 3.05, 1 Tl 3.17
Ag 0.0000 0.0000 0.5000  2 Se 2.66


Below is an optimized crystal structure of In3SnHg2, with properties calculated at the PBE level.

## Properties
Calculated volume = 332.30 Å³/cell
M_tot = 0.00 μB/cell
Energy relative to the lowest polymorph listed for this composition = 2.4 meV/atom
Symmetry = P2_1/m
Crystal system = monoclinic

Cell lengths 5.7333, 6.1745, 11.2533 Å; angles 123.47, 90.00, 90.00 degrees
With the nearest neighbours (Å) after each atom.
Atoms (fractional coordinates):
Hg 0.7500 0.1958 0.5787  5 In 3.08-3.34, 1 Hg 3.20
Hg 0.2500 0.8042 0.4213  5 In 3.08-3.34, 1 Hg 3.20
Hg 0.2500 0.4586 0.0799  5 In 3.08-3.40, 1 Hg 3.20
Hg 0.7500 0.5414 0.9201  5 In 3.08-3.40, 1 Hg 3.20
In 0.2500 0.3073 0.4238  2 Hg 3.08-3.09, 1 In 3.27, 3 Sn 3.31-3.36
In 0.2500 0.3472 0.7481  2 Sn 3.08-3.09, 6 Hg 3.28-3.40
In 0.2500 0.9530 0.0753  2 Hg 3.08-3.09, 1 In 3.27, 3 Sn 3.29-3.33
In 0.7500 0.0470 0.9247  2 Hg 3.08-3.09, 1 In 3.27, 3 Sn 3.29-3.33
In 0.7500 0.6927 0.5762  2 Hg 3.08-3.09, 1 In 3.27, 3 Sn 3.31-3.36
In 0.7500 0.6528 0.2519  2 Sn 3.08-3.09, 6 Hg 3.28-3.40
Sn 0.2500 0.8520 0.7523  8 In 3.08-3.36
Sn 0.7500 0.1480 0.2477  8 In 3.08-3.36


Below is an optimized crystal structure of GaH5Rh4, with properties calculated at the PBE level.

## Properties
Calculated volume = 185.43 Å³/cell
M_tot = 0.00 μB/cell
Symmetry = Pmmn
Raw total energy = -0.18115 Ha/atom
Crystal system = orthorhombic

Cell lengths 4.2406, 5.5478, 7.8819 Å; angles 90.00, 90.00, 90.00 degrees
With the nearest neighbours (Å) after each atom.
Atoms (fractional coordinates):
Rh 0.6025 0.2499 0.5000  3 H 1.76-1.80
Rh 0.8870 0.5000 0.2042  5 H 1.84-1.86
Rh 0.1130 0.0000 0.2958  5 H 1.84-1.86
Rh 0.3975 0.2501 0.0000  3 H 1.76-1.80
Rh 0.8870 0.5000 0.7958  5 H 1.84-1.86
Rh 0.6025 0.7501 0.5000  3 H 1.76-1.80
Rh 0.3975 0.7499 0.0000  3 H 1.76-1.80
Rh 0.1130 0.0000 0.7042  5 H 1.84-1.86
H 0.6674 0.5000 0.0000  4 Rh 1.80-1.86
H 0.2286 0.2941 0.7981  3 Rh 1.76-1.86
H 0.7714 0.2059 0.7019  3 Rh 1.76-1.86
H 0.2286 0.7059 0.2019  3 Rh 1.76-1.86
H 0.7714 0.2059 0.2981  3 Rh 1.76-1.86
H 0.7714 0.7941 0.7019  3 Rh 1.76-1.86
H 0.2286 0.7059 0.7981  3 Rh 1.76-1.86
H 0.2286 0.2941 0.2019  3 Rh 1.76-1.86
H 0.3326 0.0000 0.5000  4 Rh 1.80-1.86
H 0.7714 0.7941 0.2981  3 Rh 1.76-1.86
Ga 0.1186 0.5000 0.5000  6 Rh 2.48-2.59, 8 H 2.65-2.71
Ga 0.8814 0.0000 0.0000  6 Rh 2.48-2.59, 8 H 2.65-2.71


Below is an optimized crystal structure of ReAg2As, with properties calculated at the PBE level.

## Properties
Calculated volume = 68.93 Å³/cell
M_tot = 1.62 μB/cell
Symmetry = I4/mmm
Raw total energy = -0.18265 Ha/atom
Crystal system = tetragonal

Cell lengths 5.5385, 5.5385, 5.5385 Å; angles 140.23, 140.23, 57.51 degrees
With the nearest neighbours (Å) after each atom.
Atoms (fractional coordinates):
As 0.2500 0.7500 0.5000  4 Re 2.66
Ag 0.5000 0.5000 0.0000  4 Ag 2.66
Ag 0.0000 0.0000 0.0000  4 Ag 2.66
Re 0.7500 0.2500 0.5000  4 As 2.66


Below is an optimized crystal structure of CaAgCl3, with properties calculated at the PBE level.

## Properties
Calculated volume = 264.70 Å³/cell
M_tot = 0.00 μB/cell
Energy relative to the lowest polymorph listed for this composition = 12.8 meV/atom
Symmetry = P-1
Crystal system = triclinic

Cell lengths 7.1131, 7.0021, 7.4653 Å; angles 61.63, 59.65, 59.73 degrees
With the nearest neighbours (Å) after each atom.
Atoms (fractional coordinates):
Ag 0.8528 0.8685 0.4071  4 Cl 2.66-2.90
Ag 0.1472 0.1315 0.5929  4 Cl 2.66-2.90
Cl 0.0682 0.7381 0.7570  1 Ag 2.66, 2 Ca 2.73-2.76
Cl 0.9318 0.2619 0.2429  1 Ag 2.66, 2 Ca 2.73-2.76
Cl 0.4562 0.0562 0.7514  2 Ag 2.72-2.90, 2 Ca 2.75-2.78
Cl 0.2548 0.5521 0.2544  2 Ag 2.67-2.98, 2 Ca 2.75-2.78
Cl 0.5438 0.9438 0.2486  2 Ag 2.72-2.90, 2 Ca 2.75-2.78
Cl 0.7452 0.4479 0.7456  2 Ag 2.67-2.98, 2 Ca 2.75-2.78
Ca 0.6569 0.6541 0.0317  6 Cl 2.73-2.78
Ca 0.3431 0.3459 0.9683  6 Cl 2.73-2.78


Below is an optimized crystal structure of Al3Ga3Hg, with properties calculated at the PBE level.

## Properties
Calculated volume = 377.52 Å³/cell
M_tot = 0.00 μB/cell
Symmetry = Pm-3n
Raw total energy = -0.09267 Ha/atom
Crystal system = cubic

Cell lengths 7.2274, 7.2274, 7.2274 Å; angles 90.00, 90.00, 90.00 degrees
With the nearest neighbours (Å) after each atom.
Atoms (fractional coordinates):
Ga 0.2500 0.0000 0.5000  4 Al 2.56
Ga 0.7500 0.0000 0.5000  4 Al 2.56
Ga 0.0000 0.5000 0.7500  4 Al 2.56
Ga 0.0000 0.5000 0.2500  4 Al 2.56
Ga 0.5000 0.2500 0.0000  4 Al 2.56
Ga 0.5000 0.7500 0.0000  4 Al 2.56
Al 0.0000 0.7500 0.5000  4 Ga 2.56
Al 0.0000 0.2500 0.5000  4 Ga 2.56
Al 0.5000 0.0000 0.7500  4 Ga 2.56
Al 0.7500 0.5000 0.0000  4 Ga 2.56
Al 0.2500 0.5000 0.0000  4 Ga 2.56
Al 0.5000 0.0000 0.2500  4 Ga 2.56
Hg 0.5000 0.5000 0.5000  12 Al 4.04, 12 Ga 4.04
Hg 0.0000 0.0000 0.0000  12 Al 4.04, 12 Ga 4.04


Below is an optimized crystal structure of BaNaAc2, with properties calculated at the PBE level.

## Properties
Calculated volume = 193.60 Å³/cell
M_tot = 0.00 μB/cell
Energy relative to the lowest polymorph listed for this composition = 84.3 meV/atom
Symmetry = R-3m
Crystal system = trigonal

Cell lengths 3.9422, 3.9422, 14.5635 Å; angles 82.22, 82.22, 60.00 degrees
With the nearest neighbours (Å) after each atom.
Atoms (fractional coordinates):
Ac 0.0857 0.0857 0.7429  1 Na 3.70, 6 Ac 3.94
Ac 0.9143 0.9143 0.2571  1 Na 3.70, 6 Ac 3.94
Ba 0.5000 0.5000 0.5000  6 Ba 3.94, 6 Ac 4.17
Na 0.0000 0.0000 0.0000  2 Ac 3.70, 6 Na 3.94


Below is an optimized crystal structure of CeHgGePb, with properties calculated at the PBE level.

## Properties
Calculated volume = 104.32 Å³/cell
M_tot = 1.16 μB/cell
Symmetry = F-43m
Raw total energy = -0.14201 Ha/atom
Crystal system = cubic

Cell lengths 5.2840, 5.2840, 5.2840 Å; angles 60.00, 60.00, 60.00 degrees
With the nearest neighbours (Å) after each atom.
Atoms (fractional coordinates):
Hg 0.0000 0.0000 0.0000  4 Pb 3.24, 4 Ce 3.24
Pb 0.2500 0.2500 0.2500  4 Ge 3.24, 4 Hg 3.24
Ce 0.7500 0.7500 0.7500  4 Hg 3.24, 4 Ge 3.24
Ge 0.5000 0.5000 0.5000  4 Ce 3.24, 4 Pb 3.24